Entry 1:
## Cs6PtO (PBE)

Data for a geometry-optimized Cs6PtO structure.

As for the energy: -57.05 eV for the cell shown. The calculation puts the formation energy from raw total energies at -0.362 eV per atom.

The structure belongs to space group R-3m (No. 166, hexagonal axes); the cell edges are 16.1894, 16.1894 and 8.3108 Å and the angles 90.00°, 90.00° and 120.00°. The distinct sites, in fractional coordinates, are Cs at (0.0827, 0.1654, 0.2814), Pt at (0.0000, 0.0000, 0.0000) and O at (0.0000, 0.0000, 0.5000).

=====

Entry 2:
## YCuSi2Ag (PBE)

Data for a geometry-optimized YCuSi2Ag structure.

As for the energy: -22.05 eV for the cell shown. The calculation puts the formation energy from raw total energies at 0.441 eV per atom.

The structure belongs to space group P4/mmm (No. 123); the cell edges are 4.7923, 4.7923 and 4.6923 Å and the angles 90.00°, 90.00° and 90.00°. The distinct sites, in fractional coordinates, are Y at (0.0000, 0.0000, 0.0000), Cu at (0.5000, 0.5000, 0.0000), Si at (0.0000, 0.5000, 0.5000) and Ag at (0.5000, 0.5000, 0.5000).

=====

Entry 3:
## NaMg2TaOs (PBE)

Data for a geometry-optimized NaMg2TaOs structure.

As for the energy: -24.73 eV for the cell shown. Its formation energy is 0.57 eV/atom.

The structure belongs to space group P4/mmm (No. 123); the cell edges are 5.1613, 5.1613 and 4.7950 Å and the angles 90.00°, 90.00° and 90.00°. The distinct sites, in fractional coordinates, are Na at (0.0000, 0.0000, 0.0000), Mg at (0.0000, 0.5000, 0.5000), Ta at (0.5000, 0.5000, 0.0000) and Os at (0.5000, 0.5000, 0.5000).

=====

Entry 4:
## CaCeTm2Au4 (PBE)

Data for a geometry-optimized CaCeTm2Au4 structure.

As for the energy: -108.43 eV for the cell shown. Its formation energy is -0.77 eV/atom.

The structure belongs to space group R-3m (No. 166, hexagonal axes); the cell edges are 5.1035, 5.1035 and 25.0899 Å and the angles 90.00°, 90.00° and 120.00°. The distinct sites, in fractional coordinates, are Ca at (0.0000, 0.0000, 0.0000), Ce at (0.0000, 0.0000, 0.5000), Tm at (0.0000, 0.0000, 0.2527), Au at (0.0000, 0.0000, 0.1264) and Au at (0.0000, 0.0000, 0.3768).

=====

Entry 5:
## PmSmMn (PBE)

Data for a geometry-optimized PmSmMn structure.

As for the energy: -35.98 eV for the cell shown. Its formation energy is 0.22 eV/atom.

The structure belongs to space group I4mm (No. 107); the cell edges are 3.5794, 3.5794 and 13.0188 Å and the angles 90.00°, 90.00° and 90.00°. The distinct sites, in fractional coordinates, are Pm at (0.0000, 0.0000, 0.0000), Sm at (0.0000, 0.0000, 0.7285) and Mn at (0.0000, 0.0000, 0.3632).

=====

Entry 6:
## LaTbRh (PBE)

Data for a geometry-optimized LaTbRh structure.

As for the energy: -37.33 eV for the cell shown. Its formation energy is -0.59 eV/atom.

The structure belongs to space group P2_1/m (No. 11); the cell edges are 4.8312, 4.9035 and 6.9707 Å and the angles 90.00°, 97.34° and 90.00°. The distinct sites, in fractional coordinates, are La at (0.2397, 0.2500, 0.3947), Tb at (0.2637, 0.7500, 0.0058) and Rh at (0.1738, 0.2500, 0.7721).

=====

Entry 7:
## Zr2AsRh2 (PBE)

Data for a geometry-optimized Zr2AsRh2 structure.

As for the energy: -79.61 eV for the cell shown. Its formation energy is -0.67 eV/atom.

The structure belongs to space group P4/mbm (No. 127); the cell edges are 7.3594, 7.3594 and 3.3744 Å and the angles 90.00°, 90.00° and 90.00°. The distinct sites, in fractional coordinates, are Zr at (0.1711, 0.3289, 0.0000), As at (0.0000, 0.0000, 0.5000) and Rh at (0.1310, 0.6310, 0.5000).

=====

Entry 8:
## LiTlCdO3 (PBE)

Data for a geometry-optimized LiTlCdO3 structure.

As for the energy: -52.93 eV for the cell shown. The calculation puts the formation energy from raw total energies at -1.065 eV per atom.

The structure belongs to space group P2_1/m (No. 11); the cell edges are 5.9373, 3.3294 and 7.8762 Å and the angles 90.00°, 91.52° and 90.00°. The distinct sites, in fractional coordinates, are Li at (0.1970, 0.2500, 0.0047), Tl at (0.4171, 0.7500, 0.6971), Cd at (0.0779, 0.7500, 0.3216), O at (0.0920, 0.7500, 0.8429), O at (0.2588, 0.2500, 0.5099) and O at (0.3986, 0.7500, 0.1687).

=====

Entry 9:
## Ba2ScTl (PBE)

Data for a geometry-optimized Ba2ScTl structure.

As for the energy: -25.44 eV for the cell shown. Its formation energy is -0.04 eV/atom.

The structure belongs to space group Imm2 (No. 44); the cell edges are 4.0527, 6.1016 and 12.7649 Å and the angles 90.00°, 90.00° and 90.00°. The distinct sites, in fractional coordinates, are Ba at (0.0000, 0.0000, 0.0000), Ba at (0.0000, 0.5000, 0.2007), Sc at (0.0000, 0.5000, 0.7853) and Tl at (0.0000, 0.0000, 0.4554).

=====

Entry 10:
## Ta3Fe (PBE)

Data for a geometry-optimized Ta3Fe structure.

As for the energy: -43.12 eV for the cell shown. Its formation energy is 0.22 eV/atom.

The structure belongs to space group Pm-3m (No. 221); the cell edges are 4.0790, 4.0790 and 4.0790 Å and the angles 90.00°, 90.00° and 90.00°. The distinct sites, in fractional coordinates, are Ta at (0.0000, 0.0000, 0.5000) and Fe at (0.5000, 0.5000, 0.5000).

=====

Entry 11:
## MnSi (PBE)

Data for a geometry-optimized MnSi structure.

As for the energy: -52.50 eV for the cell shown. The calculation puts the formation energy from raw total energies at 0.734 eV per atom.

The structure belongs to space group F-43m (No. 216); the cell edges are 5.4338, 5.4338 and 5.4338 Å and the angles 90.00°, 90.00° and 90.00°. The distinct sites, in fractional coordinates, are Mn at (0.0000, 0.0000, 0.0000) and Si at (0.2500, 0.2500, 0.7500).

=====

Entry 12:
## TiVPb2C (PBE)

Data for a geometry-optimized TiVPb2C structure.

As for the energy: -28.33 eV for the cell shown. Its formation energy is 1.06 eV/atom.

The structure belongs to space group P4/mmm (No. 123); the cell edges are 5.3573, 5.3573 and 3.7580 Å and the angles 90.00°, 90.00° and 90.00°. The distinct sites, in fractional coordinates, are Ti at (0.0000, 0.0000, 0.0000), V at (0.5000, 0.5000, 0.5000), Pb at (0.0000, 0.5000, 0.5000) and C at (0.5000, 0.5000, 0.0000).

=====

Entry 13:
## PrGaCu2Pd (PBE)

Data for a geometry-optimized PrGaCu2Pd structure.

As for the energy: -46.48 eV for the cell shown. Its formation energy is -0.41 eV/atom.

The structure belongs to space group Imm2 (No. 44); the cell edges are 4.0230, 4.1736 and 10.8707 Å and the angles 90.00°, 90.00° and 90.00°. The distinct sites, in fractional coordinates, are Pr at (0.0000, 0.0000, 0.0000), Ga at (0.0000, 0.0000, 0.3768), Cu at (0.0000, 0.0000, 0.6031), Cu at (0.0000, 0.5000, 0.2471) and Pd at (0.0000, 0.5000, 0.7393).

=====

Entry 14:
## FeAsSe2 (PBE)

Data for a geometry-optimized FeAsSe2 structure.

As for the energy: -19.05 eV for the cell shown. The calculation puts the formation energy from raw total energies at 0.258 eV per atom.

The structure belongs to space group Pmmm (No. 47); the cell edges are 2.8343, 2.8550 and 9.5616 Å and the angles 90.00°, 90.00° and 90.00°. The distinct sites, in fractional coordinates, are Fe at (0.0000, 0.0000, 0.0000), As at (0.0000, 0.0000, 0.5000) and Se at (0.5000, 0.5000, 0.1634).

=====

Entry 15:
## ZrTcAuS2 (PBE)

Data for a geometry-optimized ZrTcAuS2 structure.

As for the energy: -29.49 eV for the cell shown. The calculation puts the formation energy from raw total energies at 0.191 eV per atom.

The structure belongs to space group P4/mmm (No. 123); the cell edges are 4.4502, 4.4502 and 5.4601 Å and the angles 90.00°, 90.00° and 90.00°. The distinct sites, in fractional coordinates, are Zr at (0.0000, 0.0000, 0.0000), Tc at (0.0000, 0.0000, 0.5000), Au at (0.5000, 0.5000, 0.0000) and S at (0.0000, 0.5000, 0.5000).

=====

Entry 16:
## RbPaSi2O8 (PBE)

Data for a geometry-optimized RbPaSi2O8 structure.

As for the energy: -181.86 eV for the cell shown. The calculation puts the formation energy from raw total energies at -2.496 eV per atom.

The structure belongs to space group C2/m (No. 12); the cell edges are 9.8431, 5.6860 and 8.0471 Å and the angles 90.00°, 92.83° and 90.00°. The distinct sites, in fractional coordinates, are Rb at (0.0000, 0.0000, 0.0000), Pa at (0.0000, 0.0000, 0.5000), Si at (0.1744, 0.5000, 0.7271), O at (0.0918, 0.2631, 0.6661), O at (0.1725, 0.0000, 0.3441) and O at (0.1824, 0.5000, 0.9327).

=====

Entry 17:
## Gd2CoSe (PBE)

Data for a geometry-optimized Gd2CoSe structure.

As for the energy: -126.66 eV for the cell shown. The calculation puts the formation energy from raw total energies at -0.867 eV per atom.

The structure belongs to space group R-3m (No. 166, hexagonal axes); the cell edges are 3.9219, 3.9219 and 21.1686 Å and the angles 90.00°, 90.00° and 120.00°. The distinct sites, in fractional coordinates, are Gd at (0.0000, 0.0000, 0.2415), Co at (0.0000, 0.0000, 0.5000) and Se at (0.0000, 0.0000, 0.0000).

=====

Entry 18:
## KSi2Hg (PBE)

Data for a geometry-optimized KSi2Hg structure.

As for the energy: -10.99 eV for the cell shown. The calculation puts the formation energy from raw total energies at 0.314 eV per atom.

The structure belongs to space group P4/mmm (No. 123); the cell edges are 3.7808, 3.7808 and 7.1813 Å and the angles 90.00°, 90.00° and 90.00°. The distinct sites, in fractional coordinates, are K at (0.0000, 0.0000, 0.0000), Si at (0.5000, 0.5000, 0.3389) and Hg at (0.0000, 0.0000, 0.5000).

=====

Entry 19:
## CdInSn2 (PBE)

Data for a geometry-optimized CdInSn2 structure.

As for the energy: -34.03 eV for the cell shown. Its formation energy is 0.08 eV/atom.

The structure belongs to space group R3m (No. 160, hexagonal axes); the cell edges are 4.6861, 4.6861 and 18.3117 Å and the angles 90.00°, 90.00° and 120.00°. The distinct sites, in fractional coordinates, are Cd at (0.0000, 0.0000, 0.0000), In at (0.0000, 0.0000, 0.1720), Sn at (0.0000, 0.0000, 0.4180) and Sn at (0.0000, 0.0000, 0.5900).

=====

Entry 20:
## Na2SrCaCl6 (PBE)

Data for a geometry-optimized Na2SrCaCl6 structure.

As for the energy: -117.46 eV for the cell shown. The calculation puts the formation energy from raw total energies at -2.175 eV per atom.

The structure belongs to space group R3 (No. 146, hexagonal axes); the cell edges are 7.1529, 7.1529 and 19.2351 Å and the angles 90.00°, 90.00° and 120.00°. The distinct sites, in fractional coordinates, are Na at (0.0000, 0.0000, 0.0000), Na at (0.0000, 0.0000, 0.4970), Sr at (0.0000, 0.0000, 0.2008), Ca at (0.0000, 0.0000, 0.6972), Cl at (0.0062, 0.7070, 0.6029) and Cl at (0.0286, 0.3506, 0.7665).

=====

Entry 21:
## AlCr2Sb (PBE)

Data for a geometry-optimized AlCr2Sb structure.

As for the energy: -103.14 eV for the cell shown. The calculation puts the formation energy from raw total energies at 0.332 eV per atom.

The structure belongs to space group F-43m (No. 216); the cell edges are 6.5068, 6.5068 and 6.5068 Å and the angles 90.00°, 90.00° and 90.00°. The distinct sites, in fractional coordinates, are Al at (0.0000, 0.0000, 0.0000), Cr at (0.0000, 0.0000, 0.5000), Cr at (0.2500, 0.2500, 0.7500) and Sb at (0.2500, 0.2500, 0.2500).

=====

Entry 22:
## SrSb2Pd2 (PBE)

Data for a geometry-optimized SrSb2Pd2 structure.

As for the energy: -48.16 eV for the cell shown. The calculation puts the formation energy from raw total energies at -0.753 eV per atom.

The structure belongs to space group I4/mmm (No. 139); the cell edges are 4.6913, 4.6913 and 11.0488 Å and the angles 90.00°, 90.00° and 90.00°. The distinct sites, in fractional coordinates, are Sr at (0.0000, 0.0000, 0.0000), Sb at (0.0000, 0.0000, 0.3680) and Pd at (0.0000, 0.5000, 0.2500).

=====

Entry 23:
## Co2TcSe (PBE)

Data for a geometry-optimized Co2TcSe structure.

As for the energy: -101.68 eV for the cell shown. The calculation puts the formation energy from raw total energies at 0.661 eV per atom.

The structure belongs to space group I-42d (No. 122); the cell edges are 5.3067, 5.3067 and 10.1849 Å and the angles 90.00°, 90.00° and 90.00°. The distinct sites, in fractional coordinates, are Co at (0.2478, 0.2500, 0.1250), Tc at (0.0000, 0.0000, 0.0000) and Se at (0.0000, 0.0000, 0.5000).

=====

Entry 24:
## ThTcNi4 (PBE)

Data for a geometry-optimized ThTcNi4 structure.

As for the energy: -166.14 eV for the cell shown. Its formation energy is -0.10 eV/atom.

The structure belongs to space group F-43m (No. 216); the cell edges are 7.0253, 7.0253 and 7.0253 Å and the angles 90.00°, 90.00° and 90.00°. The distinct sites, in fractional coordinates, are Th at (0.0000, 0.0000, 0.0000), Tc at (0.2500, 0.2500, 0.2500) and Ni at (0.1236, 0.1236, 0.6236).

=====

Entry 25:
## Tb2ThGe2 (PBE)

Data for a geometry-optimized Tb2ThGe2 structure.

As for the energy: -58.78 eV for the cell shown. Its formation energy is -0.70 eV/atom.

The structure belongs to space group P4/mbm (No. 127); the cell edges are 7.9567, 7.9567 and 4.0038 Å and the angles 90.00°, 90.00° and 90.00°. The distinct sites, in fractional coordinates, are Tb at (0.1663, 0.3337, 0.0000), Th at (0.0000, 0.0000, 0.5000) and Ge at (0.1324, 0.6324, 0.5000).

=====

Entry 26:
## Sm2Y3Zn3 (PBE)

Data for a geometry-optimized Sm2Y3Zn3 structure.

As for the energy: -69.36 eV for the cell shown. Its formation energy is -0.25 eV/atom.

The structure belongs to space group Immm (No. 71); the cell edges are 3.6452, 5.1755 and 21.7374 Å and the angles 90.00°, 90.00° and 90.00°. The distinct sites, in fractional coordinates, are Sm at (0.0000, 0.0000, 0.2277), Y at (0.0000, 0.0000, 0.0000), Y at (0.0000, 0.5000, 0.1159), Zn at (0.0000, 0.0000, 0.5000) and Zn at (0.0000, 0.5000, 0.3871).

=====

Entry 27:
## Sr3Tm3ScTe8 (PBE)

Data for a geometry-optimized Sr3Tm3ScTe8 structure.

As for the energy: -215.02 eV for the cell shown. The calculation puts the formation energy from raw total energies at -1.450 eV per atom.

The structure belongs to space group R-3m (No. 166, hexagonal axes); the cell edges are 8.7694, 8.7694 and 22.8257 Å and the angles 90.00°, 90.00° and 120.00°. The distinct sites, in fractional coordinates, are Sr at (0.0000, 0.5000, 0.0000), Tm at (0.0000, 0.5000, 0.5000), Sc at (0.0000, 0.0000, 0.5000), Te at (0.0000, 0.0000, 0.2425) and Te at (0.0027, 0.5014, 0.2409).